Entry from the Alexandria database: an optimized crystal structure of GaSbRhCl2 (PBE).

Calculated values
Formation energy (no corrections) = 0.13 eV/atom
SG = P4/mmm, No. 123

Cell lengths 5.409, 5.409, 5.057 Å; angles 90.00, 90.00, 90.00 degrees
Fractional positions:
Ga  0.000  0.000  0.000
Sb  0.500  0.500  0.500
Rh  0.500  0.500  0.000
Cl  0.000  0.500  0.500
Cl  0.500  0.000  0.500